VASP calculation (GGA-PBEsol) on crystalline BaLiZn at its relaxed geometry.

a = 4.8847 Å, b = 4.8847 Å, c = 4.2910 Å
α = 90.00°, β = 90.00°, γ = 120.00°
Space group P-6m2 (No. 187)
Inequivalent atoms, fractional coordinates:
Ba 0.0000 0.0000 0.0000 x1
Li 0.3333 0.6667 0.5000 x1
Zn 0.6667 0.3333 0.5000 x1

N(E_F) (states/eV/f.u.): 2.29
E (eV per atom): -1.94
Energy relative to the lowest polymorph listed for this composition (eV per formula unit): 0.00